(1)
# DyNiRu | Alexandria via LeMat-Bulk | PBE | optimized geometry
# - Calculated formation energy: -0.4 eV per formula unit
# - V: 16.7 A^3/atom
data_DyNiRu
_chemical_formula_sum 'Dy4 Ni4 Ru4'
_space_group_name_H-M_alt 'C m c m'
_space_group_IT_number 63
_space_group_name_Hall '-C 2c 2'
_cell_length_a 4.594
_cell_length_b 8.004
_cell_length_c 5.443
_cell_angle_alpha 90.00
_cell_angle_beta 90.00
_cell_angle_gamma 90.00
loop_
_atom_site_label
_atom_site_fract_x
_atom_site_fract_y
_atom_site_fract_z
Dy1 0.000 0.168 0.250
Ni1 0.000 0.164 0.750
Ru1 0.000 0.500 0.000

(2)
# NdSm5In3 | Alexandria via LeMat-Bulk | PBE | optimized geometry
# - Calculated formation energy: -3.1 eV per formula unit
# - V: 30.2 A^3/atom
data_NdSm5In3
_chemical_formula_sum 'Nd2 Sm10 In6'
_space_group_name_H-M_alt 'P 63/m c m'
_space_group_IT_number 193
_space_group_name_Hall '-P 6c 2'
_cell_length_a 9.5548
_cell_length_b 9.5548
_cell_length_c 6.8733
_cell_angle_alpha 90.00
_cell_angle_beta 90.00
_cell_angle_gamma 120.00
loop_
_atom_site_label
_atom_site_fract_x
_atom_site_fract_y
_atom_site_fract_z
Nd1 0.0000 0.0000 0.0000
Sm1 0.0000 0.3321 0.2500
Sm2 0.3333 0.6667 0.0000
In1 0.0000 0.3359 0.7500

(3)
# MgRePb2O6 | Alexandria via LeMat-Bulk | PBE | optimized geometry
# - E_form (uncorrected): -1.613 eV/atom
# - V: 13.0 A^3/atom
data_MgRePb2O6
_chemical_formula_sum 'Mg4 Re4 Pb8 O24'
_space_group_name_H-M_alt 'F m -3 m'
_space_group_IT_number 225
_space_group_name_Hall '-F 4 2 3'
_cell_length_a 8.038
_cell_length_b 8.038
_cell_length_c 8.038
_cell_angle_alpha 90.00
_cell_angle_beta 90.00
_cell_angle_gamma 90.00
loop_
_atom_site_label
_atom_site_fract_x
_atom_site_fract_y
_atom_site_fract_z
Mg1 0.000 0.000 0.000
Re1 0.000 0.000 0.500
Pb1 0.250 0.250 0.250
O1 0.000 0.000 0.259

(4)
# Tc2GeTe2 | Alexandria via LeMat-Bulk | PBE | optimized geometry
# - E_form (uncorrected): 0.417 eV/atom
# - V: 19.2 A^3/atom
data_Tc2GeTe2
_chemical_formula_sum 'Tc4 Ge2 Te4'
_space_group_name_H-M_alt 'P 4/m b m'
_space_group_IT_number 127
_space_group_name_Hall '-P 4 2ab'
_cell_length_a 7.757
_cell_length_b 7.757
_cell_length_c 3.197
_cell_angle_alpha 90.00
_cell_angle_beta 90.00
_cell_angle_gamma 90.00
loop_
_atom_site_label
_atom_site_fract_x
_atom_site_fract_y
_atom_site_fract_z
Tc1 0.142 0.358 0.000
Ge1 0.000 0.000 0.000
Te1 0.150 0.650 0.500